Record 1
Sr2AgAu: relaxed, PBE.

Geometry as CIF:
```
data_Sr2AgAu
_chemical_formula_sum 'Sr4 Ag2 Au2'
_cell_length_a 7.859
_cell_length_b 4.573
_cell_length_c 8.031
_cell_angle_alpha 90.00
_cell_angle_beta 109.36
_cell_angle_gamma 90.00
_symmetry_space_group_name_H-M 'C 1 2/m 1'
_symmetry_Int_Tables_number 12
loop_
_symmetry_equiv_pos_as_xyz
'x,y,z'
'-x,-y,-z'
'-x,y,-z'
'x,-y,z'
'x+1/2,y+1/2,z'
'-x+1/2,-y+1/2,-z'
'-x+1/2,y+1/2,-z'
'x+1/2,-y+1/2,z'
loop_
_atom_site_label
_atom_site_type_symbol
_atom_site_fract_x
_atom_site_fract_y
_atom_site_fract_z
_atom_site_occupancy
Sr1 Sr 0.245 0.000 0.236 1
Ag1 Ag 0.000 0.000 0.500 1
Au1 Au 0.000 0.500 0.000 1
```

## Properties
For the formation energy, the calculation gives -0.429 eV per atom.


Record 2
Sr3Ag3Au: relaxed, PBE.

Geometry as CIF:
```
data_Sr3Ag3Au
_chemical_formula_sum 'Sr12 Ag12 Au4'
_cell_length_a 11.649
_cell_length_b 4.588
_cell_length_c 16.461
_cell_angle_alpha 90.00
_cell_angle_beta 109.01
_cell_angle_gamma 90.00
_symmetry_space_group_name_H-M 'C 1 2/m 1'
_symmetry_Int_Tables_number 12
loop_
_symmetry_equiv_pos_as_xyz
'x,y,z'
'-x,-y,-z'
'-x,y,-z'
'x,-y,z'
'x+1/2,y+1/2,z'
'-x+1/2,-y+1/2,-z'
'-x+1/2,y+1/2,-z'
'x+1/2,-y+1/2,z'
loop_
_atom_site_label
_atom_site_type_symbol
_atom_site_fract_x
_atom_site_fract_y
_atom_site_fract_z
_atom_site_occupancy
Sr1 Sr 0.050 0.000 0.394 1
Sr2 Sr 0.105 0.000 0.923 1
Sr3 Sr 0.248 0.000 0.236 1
Ag1 Ag 0.033 0.500 0.230 1
Ag2 Ag 0.106 0.500 0.078 1
Ag3 Ag 0.127 0.500 0.543 1
Au1 Au 0.245 0.500 0.380 1
```

## Properties
For the formation energy, the calculation gives -0.411 eV per atom.


Record 3
Sr4Ag2Au: relaxed, PBE.

Geometry as CIF:
```
data_Sr4Ag2Au
_chemical_formula_sum 'Sr8 Ag4 Au2'
_cell_length_a 6.046
_cell_length_b 6.046
_cell_length_c 15.447
_cell_angle_alpha 90.00
_cell_angle_beta 90.00
_cell_angle_gamma 90.00
_symmetry_space_group_name_H-M 'I 4/m m m'
_symmetry_Int_Tables_number 139
_symmetry_space_group_name_Hall '-I 4 2'
loop_
_atom_site_label
_atom_site_type_symbol
_atom_site_fract_x
_atom_site_fract_y
_atom_site_fract_z
_atom_site_occupancy
Sr1 Sr 0.000 0.000 0.202 1
Sr2 Sr 0.000 0.500 0.000 1
Ag1 Ag 0.000 0.000 0.407 1
Au1 Au 0.000 0.000 0.000 1
```

## Properties
For the formation energy, the calculation gives -0.268 eV per atom.


Record 4
Sr3Ag2Au7: relaxed, PBE.

Geometry as CIF:
```
data_Sr3Ag2Au7
_chemical_formula_sum 'Sr9 Ag6 Au21'
_cell_length_a 5.7776
_cell_length_b 5.7776
_cell_length_c 28.3806
_cell_angle_alpha 90.00
_cell_angle_beta 90.00
_cell_angle_gamma 120.00
_symmetry_space_group_name_H-M 'R -3 m'
_symmetry_Int_Tables_number 166
_symmetry_space_group_name_Hall '-R 3 2"'
loop_
_atom_site_label
_atom_site_type_symbol
_atom_site_fract_x
_atom_site_fract_y
_atom_site_fract_z
_atom_site_occupancy
Sr1 Sr 0.0000 0.0000 0.0000 1
Sr2 Sr 0.0000 0.0000 0.1406 1
Ag1 Ag 0.0000 0.0000 0.3327 1
Au1 Au 0.0000 0.0000 0.5000 1
Au2 Au 0.0019 0.5010 0.9170 1
```

## Properties
For the formation energy, the calculation gives -0.484 eV per atom.


Q: Among the records above, which one has the highest formation energy?
A: Sr4Ag2Au


Q: Which of these has the highest formation energy?
A: Sr4Ag2Au


Q: Number 4 is which compound?
A: Sr3Ag2Au7